{
  "formula": "Nd3GaSi",
  "functional": "PBE",
  "state": "optimized geometry",
  "lattice": [[4.176, 0.000, 0.000], [2.084, 7.750, 0.000], [0.002, 0.482, 8.542]],
  "species": ["Nd", "Nd", "Nd", "Nd", "Nd", "Nd", "Ga", "Ga", "Si", "Si"],
  "fractional_positions": [[0.047, 0.407, 0.175], [0.236, 0.027, 0.824], [0.405, 0.689, 0.420], [0.595, 0.311, 0.580], [0.764, 0.973, 0.176], [0.953, 0.593, 0.825], [0.208, 0.084, 0.430], [0.792, 0.916, 0.570], [0.394, 0.713, 0.066], [0.606, 0.287, 0.934]],
  "sg": "No. 2",
  "total_energy_ev_per_cell": -50.2,
  "n_ef_per_ev_atom": 0.943,
  "crystal_system": "triclinic",
  "raw_formation_energy_ev_per_atom": -0.47,
  "vol_a3_per_fu": 138
}



{
  "formula": "Nd3GaSi3",
  "functional": "PBE",
  "state": "optimized geometry",
  "lattice": [[-2.001, 2.208, 9.149], [2.001, -2.208, 9.149], [2.001, 2.208, -9.149]],
  "species": ["Nd", "Nd", "Nd", "Ga", "Si", "Si", "Si"],
  "fractional_positions": [[0.000, 0.000, 0.000], [0.188, 0.688, 0.500], [0.369, 0.369, 0.000], [0.619, 0.119, 0.500], [0.540, 0.540, 0.000], [0.752, 0.252, 0.500], [0.829, 0.829, 0.000]],
  "sg": "No. 44",
  "total_energy_ev_per_cell": -38.7,
  "n_ef_per_ev_atom": 0.690,
  "crystal_system": "orthorhombic",
  "raw_formation_energy_ev_per_atom": -0.73,
  "vol_a3_per_fu": 162
}